Run one
This record from Alexandria via LeMat-Bulk describes a geometry-optimized La6Zn2Hg structure. The functional is GGA-PBE.

The structure in POSCAR format:
```
La6Zn2Hg
1.0
-5.068 5.190 5.337
5.068 -5.190 5.337
5.068 5.190 -5.337
La Zn Hg
12 4 2
Direct
0.040 0.821 0.219
0.249 0.546 0.297
0.249 0.951 0.703
0.269 0.316 0.586
0.269 0.684 0.953
0.399 0.179 0.219
0.601 0.821 0.781
0.731 0.316 0.047
0.731 0.684 0.414
0.751 0.049 0.297
0.751 0.454 0.703
0.960 0.179 0.781
0.000 0.132 0.132
0.000 0.868 0.868
0.379 0.379 0.000
0.621 0.621 0.000
0.000 0.500 0.500
0.500 0.000 0.500
```

Results
The symmetry is No. 71. The value obtained for the density is 6.89 g cm⁻³.



Run two
This record from Alexandria via LeMat-Bulk describes a geometry-optimized La6Zn2Hg structure. The functional is GGA-PBE.

The structure in POSCAR format:
```
La6Zn2Hg
1.0
0.000 6.247 8.181
2.730 0.000 8.181
2.730 6.247 0.000
La Zn Hg
6 2 1
Direct
0.024 0.315 0.685
0.315 0.024 0.976
0.351 0.649 0.351
0.649 0.351 0.649
0.685 0.976 0.024
0.976 0.685 0.315
0.334 0.334 0.666
0.666 0.666 0.334
0.000 0.000 0.000
```

Results
The symmetry is No. 69. The value obtained for the density is 6.93 g cm⁻³.



Here is how they stack up, most stable first: run two, run one.



Run one
This record from Alexandria via LeMat-Bulk describes a geometry-optimized LaZn2Hg2 structure. The functional is GGA-PBE.

The structure in POSCAR format:
```
LaZn2Hg2
1.0
4.484 0.000 0.000
0.000 4.484 0.000
0.000 0.000 11.588
La Zn Hg
2 4 4
Direct
0.000 0.000 0.000
0.500 0.500 0.500
0.000 0.500 0.250
0.000 0.500 0.750
0.500 0.000 0.250
0.500 0.000 0.750
0.000 0.000 0.378
0.000 0.000 0.622
0.500 0.500 0.122
0.500 0.500 0.878
```

Results
The symmetry is No. 139. The value obtained for the density is 9.56 g cm⁻³.



Run two
This record from Alexandria via LeMat-Bulk describes a geometry-optimized LaZn2Hg2 structure. The functional is GGA-PBE.

The structure in POSCAR format:
```
LaZn2Hg2
1.0
7.828 0.000 0.000
0.000 7.828 0.000
0.000 0.000 3.901
La Zn Hg
2 4 4
Direct
0.000 0.000 0.000
0.500 0.500 0.000
0.114 0.386 0.000
0.386 0.886 0.000
0.614 0.114 0.000
0.886 0.614 0.000
0.187 0.687 0.500
0.313 0.187 0.500
0.687 0.813 0.500
0.813 0.313 0.500
```

Results
The symmetry is No. 127. The value obtained for the density is 9.32 g cm⁻³.



Here is how they stack up, most stable first: run one, run two.



Run one
This record from Alexandria via LeMat-Bulk describes a geometry-optimized LaZn2Hg2 structure. The functional is GGA-PBE.

The structure in POSCAR format:
```
LaZn2Hg2
1.0
4.583 0.000 0.000
0.000 4.583 0.000
0.000 0.000 10.881
La Zn Hg
2 4 4
Direct
0.000 0.000 0.000
0.500 0.500 0.500
0.000 0.000 0.389
0.000 0.000 0.611
0.500 0.500 0.111
0.500 0.500 0.889
0.000 0.500 0.250
0.000 0.500 0.750
0.500 0.000 0.250
0.500 0.000 0.750
```

Results
The symmetry is No. 139. The value obtained for the density is 9.75 g cm⁻³.



Run two
This record from Alexandria via LeMat-Bulk describes a geometry-optimized LaZn2Hg2 structure. The functional is GGA-PBE.

The structure in POSCAR format:
```
LaZn2Hg2
1.0
6.109 0.000 0.000
3.045 5.708 0.000
3.037 0.653 6.752
La Zn Hg
2 4 4
Direct
0.145 0.250 0.250
0.855 0.750 0.750
0.299 0.680 0.942
0.424 0.820 0.557
0.576 0.180 0.443
0.701 0.320 0.058
0.204 0.164 0.816
0.315 0.664 0.316
0.685 0.336 0.684
0.796 0.836 0.184
```

Results
The symmetry is No. 2. The value obtained for the density is 9.46 g cm⁻³.



Here is how they stack up, most stable first: run one, run two.



Run one
This record from Alexandria via LeMat-Bulk describes a geometry-optimized La6ZnHg2 structure. The functional is GGA-PBE.

The structure in POSCAR format:
```
La6ZnHg2
1.0
9.150 0.000 0.000
-4.575 7.924 0.000
0.000 0.000 3.880
La Zn Hg
6 1 2
Direct
0.000 0.262 0.000
0.000 0.599 0.500
0.262 0.000 0.000
0.401 0.401 0.500
0.599 0.000 0.500
0.738 0.738 0.000
0.000 0.000 0.500
0.333 0.667 0.000
0.667 0.333 0.000
```

Results
The symmetry is No. 189. The value obtained for the density is 7.67 g cm⁻³.



Run two
This record from Alexandria via LeMat-Bulk describes a geometry-optimized La6ZnHg2 structure. The functional is GGA-PBE.

The structure in POSCAR format:
```
La6ZnHg2
1.0
6.651 0.000 0.000
0.000 8.611 0.000
-5.717 0.000 10.196
La Zn Hg
12 2 4
Direct
0.082 0.057 0.228
0.082 0.443 0.728
0.175 0.709 0.062
0.175 0.791 0.562
0.405 0.157 0.042
0.405 0.343 0.542
0.595 0.657 0.458
0.595 0.843 0.958
0.825 0.209 0.438
0.825 0.291 0.938
0.918 0.557 0.272
0.918 0.943 0.772
0.500 0.000 0.500
0.500 0.500 0.000
0.332 0.110 0.732
0.332 0.390 0.232
0.668 0.610 0.768
0.668 0.890 0.268
```

Results
The symmetry is No. 14. The value obtained for the density is 7.39 g cm⁻³.



Here is how they stack up, most stable first: run one, run two.



Run one
This record from Alexandria via LeMat-Bulk describes a geometry-optimized La4ZnHg structure. The functional is GGA-PBE.

The structure in POSCAR format:
```
La4ZnHg
1.0
3.858 0.000 0.000
0.000 3.858 0.000
0.000 0.000 12.650
La Zn Hg
4 1 1
Direct
0.000 0.000 0.140
0.000 0.000 0.860
0.500 0.500 0.345
0.500 0.500 0.655
0.500 0.500 0.000
0.000 0.000 0.500
```

Results
The symmetry is No. 123. The value obtained for the density is 7.25 g cm⁻³.



Run two
This record from Alexandria via LeMat-Bulk describes a geometry-optimized La4ZnHg structure. The functional is GGA-PBE.

The structure in POSCAR format:
```
La4ZnHg
1.0
0.000 4.575 4.575
4.575 0.000 4.575
4.575 4.575 0.000
La Zn Hg
4 1 1
Direct
0.125 0.125 0.125
0.125 0.125 0.625
0.125 0.625 0.125
0.625 0.125 0.125
0.750 0.750 0.750
0.500 0.500 0.500
```

Results
The symmetry is No. 216. The value obtained for the density is 7.13 g cm⁻³.



Run three
This record from Alexandria via LeMat-Bulk describes a geometry-optimized La4ZnHg structure. The functional is GGA-PBE.

The structure in POSCAR format:
```
La4ZnHg
1.0
7.481 0.000 0.000
0.000 7.480 0.000
-0.010 0.000 7.376
La Zn Hg
8 2 2
Direct
0.250 0.250 0.233
0.250 0.250 0.767
0.250 0.750 0.233
0.250 0.750 0.767
0.750 0.250 0.233
0.750 0.250 0.767
0.750 0.750 0.233
0.750 0.750 0.767
0.000 0.000 0.000
0.500 0.500 0.000
0.000 0.500 0.500
0.500 0.000 0.500
```

Results
The symmetry is No. 12. The value obtained for the density is 6.61 g cm⁻³.



Here is how they stack up, most stable first: run one, run three, run two.



Run one
This record from Alexandria via LeMat-Bulk describes a geometry-optimized La4ZnHg2 structure. The functional is GGA-PBE.

The structure in POSCAR format:
```
La4ZnHg2
1.0
2.716 1.568 8.709
-2.716 1.568 8.709
0.000 -3.136 8.709
La Zn Hg
4 1 2
Direct
0.123 0.123 0.123
0.374 0.374 0.374
0.626 0.626 0.626
0.877 0.877 0.877
0.500 0.500 0.500
0.249 0.249 0.249
0.751 0.751 0.751
```

Results
The symmetry is No. 166. The value obtained for the density is 7.63 g cm⁻³.



Run two
This record from Alexandria via LeMat-Bulk describes a geometry-optimized La4ZnHg2 structure. The functional is GGA-PBE.

The structure in POSCAR format:
```
La4ZnHg2
1.0
5.617 0.000 0.000
0.000 5.617 0.000
0.000 0.000 15.734
La Zn Hg
8 2 4
Direct
0.000 0.000 0.192
0.000 0.000 0.808
0.000 0.500 0.000
0.000 0.500 0.500
0.500 0.000 0.000
0.500 0.000 0.500
0.500 0.500 0.308
0.500 0.500 0.692
0.000 0.000 0.000
0.500 0.500 0.500
0.000 0.000 0.387
0.000 0.000 0.613
0.500 0.500 0.113
0.500 0.500 0.887
```

Results
The symmetry is No. 139. The value obtained for the density is 6.84 g cm⁻³.



Here is how they stack up, most stable first: run one, run two.